Material: MgFe2Br
Method: DFT, PBE
State: relaxed

```
data_MgFe2Br
_chemical_formula_sum 'Mg2 Fe4 Br2'
_space_group_name_H-M_alt 'C m m m'
_space_group_IT_number 65
_space_group_name_Hall '-C 2 2'
_cell_length_a 3.256
_cell_length_b 5.084
_cell_length_c 8.461
_cell_angle_alpha 90.00
_cell_angle_beta 90.00
_cell_angle_gamma 90.00
loop_
_atom_site_label
_atom_site_fract_x
_atom_site_fract_y
_atom_site_fract_z
Mg1 0.000 0.000 0.000
Fe1 0.000 0.500 0.260
Br1 0.000 0.000 0.500
```

The calculation puts the formation energy without anion corrections at 56.3 kJ/mol of atoms. The value obtained for the excess energy over the best structure of this formula in the dataset is 45.41 kJ/mol of atoms.



Material: CoTe2SN
Method: DFT, PBE
State: relaxed

```
data_CoTe2SN
_chemical_formula_sum 'Co1 Te2 S1 N1'
_space_group_name_H-M_alt 'P 4/m m m'
_space_group_IT_number 123
_space_group_name_Hall '-P 4 2'
_cell_length_a 5.267
_cell_length_b 5.267
_cell_length_c 3.386
_cell_angle_alpha 90.00
_cell_angle_beta 90.00
_cell_angle_gamma 90.00
loop_
_atom_site_label
_atom_site_fract_x
_atom_site_fract_y
_atom_site_fract_z
Co1 0.000 0.000 0.000
Te1 0.000 0.500 0.000
S1 0.500 0.500 0.500
N1 0.000 0.000 0.500
```

The calculation puts the formation energy without anion corrections at 43.9 kJ/mol of atoms. The value obtained for the excess energy over the best structure of this formula in the dataset is 0.00 kJ/mol of atoms.



Material: EuSn3
Method: DFT, PBE
State: relaxed

```
data_EuSn3
_chemical_formula_sum 'Eu4 Sn12'
_space_group_name_H-M_alt 'F m -3 m'
_space_group_IT_number 225
_space_group_name_Hall '-F 4 2 3'
_cell_length_a 7.758
_cell_length_b 7.758
_cell_length_c 7.758
_cell_angle_alpha 90.00
_cell_angle_beta 90.00
_cell_angle_gamma 90.00
loop_
_atom_site_label
_atom_site_fract_x
_atom_site_fract_y
_atom_site_fract_z
Eu1 0.000 0.000 0.000
Sn1 0.000 0.000 0.500
Sn2 0.250 0.250 0.250
```

The formation energy comes out at -0.96 eV per formula unit.



Material: TiV3W
Method: DFT, PBE
State: relaxed

```
data_TiV3W
_chemical_formula_sum 'Ti2 V6 W2'
_space_group_name_H-M_alt 'P 1 21/m 1'
_space_group_IT_number 11
_cell_length_a 4.809
_cell_length_b 5.608
_cell_length_c 5.673
_cell_angle_alpha 90.00
_cell_angle_beta 90.12
_cell_angle_gamma 90.00
loop_
_space_group_symop_operation_xyz
'x,y,z'
'-x,-y,-z'
'-x,y+1/2,-z'
'x,-y+1/2,z'
loop_
_atom_site_label
_atom_site_fract_x
_atom_site_fract_y
_atom_site_fract_z
Ti1 0.242 0.250 0.254
V1 0.167 0.061 0.747
V2 0.332 0.750 0.460
W1 0.336 0.750 0.049
```

The formation energy comes out at 1.57 eV per formula unit. The value obtained for the excess energy over the best structure of this formula in the dataset is 7.38 kJ/mol of atoms.



Material: LaIn2Fe
Method: DFT, PBE
State: relaxed

```
data_LaIn2Fe
_chemical_formula_sum 'La2 In4 Fe2'
_space_group_name_H-M_alt 'C 1 m 1'
_space_group_IT_number 8
_cell_length_a 8.205
_cell_length_b 4.527
_cell_length_c 6.169
_cell_angle_alpha 90.00
_cell_angle_beta 116.63
_cell_angle_gamma 90.00
loop_
_space_group_symop_operation_xyz
'x,y,z'
'x,-y,z'
'x+1/2,y+1/2,z'
'x+1/2,-y+1/2,z'
loop_
_atom_site_label
_atom_site_fract_x
_atom_site_fract_y
_atom_site_fract_z
La1 0.000 0.000 0.000
In1 0.204 0.000 0.636
In2 0.448 0.000 0.369
Fe1 0.298 0.500 0.434
```

The formation energy comes out at -0.08 eV per formula unit.



Material: Y2CrHgPb
Method: DFT, PBE
State: relaxed

```
data_Y2CrHgPb
_chemical_formula_sum 'Y2 Cr1 Hg1 Pb1'
_space_group_name_H-M_alt 'P 4/m m m'
_space_group_IT_number 123
_space_group_name_Hall '-P 4 2'
_cell_length_a 5.950
_cell_length_b 5.950
_cell_length_c 5.317
_cell_angle_alpha 90.00
_cell_angle_beta 90.00
_cell_angle_gamma 90.00
loop_
_atom_site_label
_atom_site_fract_x
_atom_site_fract_y
_atom_site_fract_z
Y1 0.000 0.500 0.000
Cr1 0.000 0.000 0.500
Hg1 0.500 0.500 0.500
Pb1 0.000 0.000 0.000
```

The formation energy comes out at 3.02 eV per formula unit.



Number 1: uncorrected energy -4.4645 eV per atom, D(E_F) 0.936 states/eV per atom, mass density 5120 kg/m³. Number 2: uncorrected energy -4.7133 eV per atom, D(E_F) 0.831 states/eV per atom, mass density 6368 kg/m³. Number 3: uncorrected energy -5.8107 eV per atom, D(E_F) 0.907 states/eV per atom, mass density 7228 kg/m³. Number 4: uncorrected energy -9.3270 eV per atom, D(E_F) 1.161 states/eV per atom, mass density 8348 kg/m³. Number 5: uncorrected energy -4.7371 eV per atom, D(E_F) 1.489 states/eV per atom, mass density 6881 kg/m³. Number 6: uncorrected energy -4.7084 eV per atom, D(E_F) 1.571 states/eV per atom, mass density 5625 kg/m³.